1.
# ScIn3Fe | the Alexandria database | PBE-GGA | optimized geometry
data_ScIn3Fe
_chemical_formula_sum 'Sc1 In3 Fe1'
_symmetry_space_group_name_H-M 'P m -3 m'
_symmetry_Int_Tables_number 221
_symmetry_space_group_name_Hall '-P 4 2 3'
_cell_length_a 4.893
_cell_length_b 4.893
_cell_length_c 4.893
_cell_angle_alpha 90.00
_cell_angle_beta 90.00
_cell_angle_gamma 90.00
loop_
_atom_site_label
_atom_site_type_symbol
_atom_site_fract_x
_atom_site_fract_y
_atom_site_fract_z
Sc1 Sc 0.000 0.000 0.000
In1 In 0.000 0.500 0.500
Fe1 Fe 0.500 0.500 0.500
# **ΔE_f**: 225 meV per atom
# **Energy above the most stable polymorph in this dataset**: 0 kJ/mol of formula units

=====

2.
# Dy5Pu3N8 | the Alexandria database | PBE-GGA | optimized geometry
data_Dy5Pu3N8
_chemical_formula_sum 'Dy15 Pu9 N24'
_symmetry_space_group_name_H-M 'R -3 m'
_symmetry_Int_Tables_number 166
_symmetry_space_group_name_Hall '-R 3 2"'
_cell_length_a 6.9528
_cell_length_b 6.9528
_cell_length_c 16.9469
_cell_angle_alpha 90.00
_cell_angle_beta 90.00
_cell_angle_gamma 120.00
loop_
_atom_site_label
_atom_site_type_symbol
_atom_site_fract_x
_atom_site_fract_y
_atom_site_fract_z
Dy1 Dy 0.0000 0.0000 0.0000
Dy2 Dy 0.0000 0.0000 0.5000
Dy3 Dy 0.0000 0.5000 0.0000
Pu1 Pu 0.0000 0.5000 0.5000
N1 N 0.0000 0.0000 0.2477
N2 N 0.0041 0.5021 0.7522
# **Formation energy from raw total energies**: -24.5 eV/f.u.

=====

3.
# Pa3VGa5 | the Alexandria database | PBE-GGA | optimized geometry
data_Pa3VGa5
_chemical_formula_sum 'Pa6 V2 Ga10'
_symmetry_space_group_name_H-M 'P 63/m c m'
_symmetry_Int_Tables_number 193
_symmetry_space_group_name_Hall '-P 6c 2'
_cell_length_a 8.6037
_cell_length_b 8.6037
_cell_length_c 5.6963
_cell_angle_alpha 90.00
_cell_angle_beta 90.00
_cell_angle_gamma 120.00
loop_
_atom_site_label
_atom_site_type_symbol
_atom_site_fract_x
_atom_site_fract_y
_atom_site_fract_z
Pa1 Pa 0.0000 0.3856 0.2500
V1 V 0.0000 0.0000 0.0000
Ga1 Ga 0.0000 0.2585 0.7500
Ga2 Ga 0.3333 0.6667 0.0000
# **ΔE_f**: -225 meV per atom

=====

no.,DOS at the Fermi energy (states/eV per cell),mass density (g/cm3)
1,2.5,6.31
2,60.2,11.63
3,28.6,9.94